Entry 1:
ZnFeTc2H after structural relaxation. Source: Alexandria via LeMat-Bulk, functional PBE.

a = 3.8812 Å, b = 3.8812 Å, c = 3.7967 Å
α = 90.00°, β = 90.00°, γ = 90.00°
With the nearest neighbours (Å) after each atom.
Sites, in units of the cell vectors:
Zn1 0.0000 0.0000 0.0000  8 Tc 2.71, 4 Fe 2.74
Fe1 0.5000 0.5000 0.0000  2 H 1.90
Tc1 0.0000 0.5000 0.5000  2 H 1.94
Tc2 0.5000 0.0000 0.5000  2 H 1.94
H1 0.5000 0.5000 0.5000  2 Fe 1.90, 4 Tc 1.94

The space-group type is P4/mmm (123). Its magnetic moment is 2.407 μB/cell. For the total energy, the calculation gives -6.589 eV per atom.

Entry 2:
Nd2AlAg6 after structural relaxation. Source: Alexandria via LeMat-Bulk, functional PBE.

a = 6.0988 Å, b = 6.0988 Å, c = 6.0466 Å
α = 90.00°, β = 90.00°, γ = 120.00°
With the nearest neighbours (Å) after each atom.
Sites, in units of the cell vectors:
Nd1 0.3333 0.6667 0.1494  12 Ag 3.23-3.60
Nd2 0.6667 0.3333 0.8506  12 Ag 3.23-3.60
Al1 0.0000 0.0000 0.0000  6 Ag 2.70
Ag1 0.1763 0.3526 0.6777  1 Al 2.70, 4 Ag 2.84-2.87
Ag2 0.1763 0.8237 0.6777  1 Al 2.70, 4 Ag 2.84-2.87
Ag3 0.3526 0.1763 0.3223  1 Al 2.70, 4 Ag 2.84-2.87
Ag4 0.6474 0.8237 0.6777  1 Al 2.70, 4 Ag 2.84-2.87
Ag5 0.8237 0.1763 0.3223  1 Al 2.70, 4 Ag 2.84-2.87
Ag6 0.8237 0.6474 0.3223  1 Al 2.70, 4 Ag 2.84-2.87

The space-group type is P-3m1 (164). As for the formation energy: -0.22 eV/atom. Its magnetic moment is 0.000 μB/cell.

Repeat the first record exactly.
ZnFeTc2H after structural relaxation. Source: Alexandria via LeMat-Bulk, functional PBE.

a = 3.8812 Å, b = 3.8812 Å, c = 3.7967 Å
α = 90.00°, β = 90.00°, γ = 90.00°
With the nearest neighbours (Å) after each atom.
Sites, in units of the cell vectors:
Zn1 0.0000 0.0000 0.0000  8 Tc 2.71, 4 Fe 2.74
Fe1 0.5000 0.5000 0.0000  2 H 1.90
Tc1 0.0000 0.5000 0.5000  2 H 1.94
Tc2 0.5000 0.0000 0.5000  2 H 1.94
H1 0.5000 0.5000 0.5000  2 Fe 1.90, 4 Tc 1.94

The space-group type is P4/mmm (123). Its magnetic moment is 2.407 μB/cell. For the total energy, the calculation gives -6.589 eV per atom.